TmV2B6 PBE-GGA optimized geometry; raw total energy = -68.51 eV per cell
1.0
5.322 0.000 0.000
-2.661 4.609 0.000
0.000 0.000 3.309
Tm V B
1 2 6
direct
0.000 0.000 0.000
0.333 0.667 0.000
0.667 0.333 0.000
0.000 0.341 0.500
0.000 0.659 0.500
0.341 0.000 0.500
0.341 0.341 0.500
0.659 0.000 0.500
0.659 0.659 0.500

YHfZnIn PBE-GGA optimized geometry; raw total energy = -84.89 eV per cell
1.0
7.077 0.000 0.000
0.000 7.077 0.000
0.000 0.000 7.077
Y Hf Zn In
4 4 4 4
direct
0.000 0.000 0.000
0.000 0.500 0.500
0.500 0.000 0.500
0.500 0.500 0.000
0.000 0.000 0.500
0.000 0.500 0.000
0.500 0.000 0.000
0.500 0.500 0.500
0.250 0.250 0.750
0.250 0.750 0.250
0.750 0.250 0.250
0.750 0.750 0.750
0.250 0.250 0.250
0.250 0.750 0.750
0.750 0.250 0.750
0.750 0.750 0.250